NaTl2GaF6 | SCAN | PBEsol geometry

The magnetization comes out at 0.00 μB/f.u. The calculation puts the uncorrected formation energy at -2456.1 kJ/mol of formula units. As for the density of states at the Fermi level: 0.00 states/eV/cell.

Cell: 8.3887 8.3887 8.3887 Å, 90.00 90.00 90.00°
Space group Fm-3m (No. 225)
Symmetry-distinct sites (fractional):
1 Na 0.0000 0.0000 0.0000
2 Tl 0.2500 0.2500 0.2500
3 Ga 0.0000 0.0000 0.5000
4 F 0.0000 0.0000 0.2719

Nb2GaNiF | SCAN | PBEsol geometry

The magnetization comes out at 0.00 μB/f.u. The calculation puts the uncorrected formation energy at 41.5 kJ/mol of formula units. As for the density of states at the Fermi level: 4.24 states/eV/cell.

Cell: 4.1120 4.1120 4.4455 Å, 90.00 90.00 90.00°
Space group P4/mmm (No. 123)
Symmetry-distinct sites (fractional):
1 Nb 0.0000 0.5000 0.0000
2 Ga 0.0000 0.0000 0.5000
3 Ni 0.5000 0.5000 0.5000
4 F 0.0000 0.0000 0.0000